# PBE BaAg3F, optimized geometry
data_BaAg3F
_chemical_formula_sum 'Ba1 Ag3 F1'
_cell_length_a 6.3663
_cell_length_b 6.3663
_cell_length_c 6.3663
_cell_angle_alpha 90.00
_cell_angle_beta 90.00
_cell_angle_gamma 90.00
_symmetry_space_group_name_H-M 'P m -3 m'
_symmetry_Int_Tables_number 221
_symmetry_space_group_name_Hall '-P 4 2 3'
loop_
_atom_site_label
_atom_site_type_symbol
_atom_site_fract_x
_atom_site_fract_y
_atom_site_fract_z
_atom_site_occupancy
Ba1 Ba 0.0000 0.0000 0.0000 1
Ag1 Ag 0.0000 0.0000 0.5000 1
F1 F 0.5000 0.5000 0.5000 1
# Uncorrected formation energy, eV/atom: 0.71
# E above lowest polymorph, meV per atom: 933.6
# Total magnetization, μB per cell: 2.0